1.
DFT (GGA+U) results for crystalline CoIrNO2 at its relaxed geometry.

a b c (Å): 4.056 4.056 3.668
angles (deg): 90.00 90.00 90.00
Space group P4/mmm (No. 123)
One atom of each set of equivalent atoms:
Co  0.000  0.000  0.000 [1 per cell]
Ir  0.500  0.500  0.500 [1 per cell]
N  0.500  0.500  0.000 [1 per cell]
O  0.000  0.500  0.500 [2 per cell]

Output
E_tot (eV/atom): -6.04

2.
DFT (GGA+U) results for crystalline CoIrN2O at its relaxed geometry.

a b c (Å): 3.738 3.738 4.368
angles (deg): 90.00 90.00 90.00
Space group P4/mmm (No. 123)
One atom of each set of equivalent atoms:
Co  0.000  0.000  0.000 [1 per cell]
Ir  0.500  0.500  0.500 [1 per cell]
N  0.000  0.500  0.500 [2 per cell]
O  0.500  0.500  0.000 [1 per cell]

Output
E_tot (eV/atom): -6.16